Entry 1:
The following is a PBE-GGA calculation of an optimized crystal structure of PrTm7Tl5, from the Alexandria database.

Properties
E in eV/atom: -3.82
N(E_F) in states/eV per cell: 14.736

Cell and atoms, written as POSCAR:
```
PrTm7Tl5
1.0
-3.2221 5.4321 5.3587
3.2221 -5.4321 5.3587
3.2221 5.4321 -5.3587
Pr Tm Tl
1 7 5
Direct
0.0000 0.0000 0.0000 Pr
0.2224 0.5192 0.7033 Tm
0.3400 0.3400 0.0000 Tm
0.3480 0.0034 0.3447 Tm
0.6486 0.6486 0.0000 Tm
0.6587 0.0034 0.6553 Tm
0.7793 0.2793 0.5000 Tm
0.8159 0.5192 0.2967 Tm
0.0030 0.0153 0.4905 Tl
0.0030 0.5125 0.9877 Tl
0.2361 0.7361 0.5000 Tl
0.5248 0.0153 0.0123 Tl
0.5248 0.5125 0.5095 Tl
```

***

Entry 2:
The following is a PBE-GGA calculation of an optimized crystal structure of YTa2Tc, from the Alexandria database.

Properties
E in eV/atom: -9.88
N(E_F) in states/eV per cell: 4.884
E above lowest polymorph in meV/atom: 207

Cell and atoms, written as POSCAR:
```
YTa2Tc
1.0
0.0000 3.3612 3.3612
3.3612 0.0000 3.3612
3.3612 3.3612 0.0000
Y Ta Tc
1 2 1
Direct
0.0000 0.0000 0.0000 Y
0.5000 0.5000 0.5000 Ta
0.7500 0.7500 0.7500 Ta
0.2500 0.2500 0.2500 Tc
```

***

Entry 3:
The following is a PBE-GGA calculation of an optimized crystal structure of Te2AsRu, from the Alexandria database.

Properties
E in eV/atom: -4.97
N(E_F) in states/eV per cell: 3.685

Cell and atoms, written as POSCAR:
```
Te2AsRu
1.0
3.0816 0.0000 0.0000
0.0000 3.0816 0.0000
0.0000 0.0000 9.8512
Te As Ru
2 1 1
Direct
0.0000 0.0000 0.0000 Te
0.5000 0.5000 0.3475 Te
0.0000 0.0000 0.6604 As
0.5000 0.5000 0.8070 Ru
```

***

Entry 4:
The following is a PBE-GGA calculation of an optimized crystal structure of Sc4CoSnRu2, from the Alexandria database.

Properties
E in eV/atom: -7.39
N(E_F) in states/eV per cell: 4.013

Cell and atoms, written as POSCAR:
```
Sc4CoSnRu2
1.0
2.3095 1.3334 7.6027
-2.3095 1.3334 7.6027
0.0000 -2.6668 7.6027
Sc Co Sn Ru
4 1 1 2
Direct
0.1154 0.1154 0.1154 Sc
0.3689 0.3689 0.3689 Sc
0.6311 0.6311 0.6311 Sc
0.8846 0.8846 0.8846 Sc
0.0000 0.0000 0.0000 Co
0.5000 0.5000 0.5000 Sn
0.2496 0.2496 0.2496 Ru
0.7504 0.7504 0.7504 Ru
```